First-principles (PBE) data for a geometry-optimized MnBRh4 structure, as listed in Alexandria via LeMat-Bulk.

a b c (Å): 7.015 10.014 4.659
angles (deg): 90.00 108.70 90.00
Space group C2/c (No. 15)
One atom of each set of equivalent atoms:
Mn (0.000, 0.118, 0.250)
B (0.000, 0.499, 0.250)
Rh (0.111, 0.335, 0.557)
Rh (0.209, 0.092, 0.860)

Computed properties:
**Energy**: -182.8 eV for the cell shown
**Density of states at the Fermi level**: 31.45 states/eV/cell
**Calculated formation energy**: -74 meV per atom